This record from Alexandria describes an optimized crystal structure of CoCuNiRu. The functional is PBE.

Cell lengths 4.114, 4.114, 4.114 Å; angles 60.00, 60.00, 60.00 degrees
Atoms (fractional coordinates):
Ru 0.250 0.250 0.250
Co 0.500 0.500 0.500
Cu 0.750 0.750 0.750
Ni 0.000 0.000 0.000

Calculated values
- magnetic moment (μB per formula unit) = 3.97
- DOS at the Fermi energy (states/eV per atom) = 0.591
- DFT formation energy (eV/atom) = 0.236
- space group = F-43m